## RbIn3Hg10 (PBE)

Data for RbIn3Hg10 after structural relaxation.

a b c (Å): 10.8695 10.8695 10.8695
angles (deg): 60.00 60.00 60.00
Atoms (fractional coordinates):
1 Hg 0.0000 0.0000 0.6464
2 Hg 0.1548 0.6151 0.6151
3 Hg 0.3849 0.3849 0.3849
4 In 0.2662 0.2662 0.7338
5 Hg 0.6464 0.0000 0.3536
6 Hg 0.0000 0.6464 0.3536
7 Hg 0.0000 0.3536 0.0000
8 Hg 0.3849 0.8452 0.3849
9 In 0.7338 0.2662 0.2662
10 Hg 0.6464 0.3536 0.0000
11 Hg 0.0000 0.0000 0.3536
12 Rb 0.2500 0.2500 0.2500
13 Hg 0.3536 0.0000 0.0000
14 Rb 0.7500 0.7500 0.7500
15 Hg 0.3536 0.0000 0.6464
16 Hg 0.8452 0.3849 0.3849
17 Hg 0.3536 0.6464 0.0000
18 Hg 0.3849 0.3849 0.8452
19 Hg 0.0000 0.6464 0.0000
20 Hg 0.0000 0.3536 0.6464
21 Hg 0.6151 0.1548 0.6151
22 In 0.7338 0.2662 0.7338
23 Hg 0.6151 0.6151 0.1548
24 Hg 0.6464 0.0000 0.0000
25 Hg 0.6151 0.6151 0.6151
26 In 0.2662 0.7338 0.2662
27 In 0.2662 0.7338 0.7338
28 In 0.7338 0.7338 0.2662

Results
Uncorrected energy, eV for the cell shown: -24.85
Energy of formation from the pure elements, eV per atom: -0.0161
Crystal system: cubic